Run A
Rb3SrBe: optimized geometry, PBE.

Geometry as extended XYZ:
```
5
Lattice="-6.8520 -1.9823 -4.5141 3.4198 -7.4784 -1.9070 -3.5513 -3.3767 6.8734" Properties=species:S:1:pos:R:3 pbc="T T T"
Sr 0.0000 0.0000 0.0000
Rb 1.7099 -3.7392 -0.9535
Rb -1.7757 -1.6883 3.4367
Rb -3.4260 -0.9911 -2.2571
Be -3.4918 -6.4187 0.2262
```

SG: Pm-3m, No. 221
Calculated volume: 120.302 A^3/atom
Density: 0.97 g cm⁻³

---

Run B
Rb3SrBe: optimized geometry, PBE.

Geometry as extended XYZ:
```
5
Lattice="-4.3685 3.5420 4.0157 -3.6047 -5.7776 1.1748 3.9595 -1.3520 5.4999" Properties=species:S:1:pos:R:3 pbc="T T T"
Sr -2.0068 -1.7938 5.3452
Rb -1.8023 -2.8888 0.5874
Rb 1.9798 -0.6760 2.7500
Rb -2.1842 1.7710 2.0078
Be 0.0000 0.0000 0.0000
```

SG: Pm-3m, No. 221
Calculated volume: 66.002 A^3/atom
Density: 1.78 g cm⁻³

---

Which is most stable? The ranking, best first, is run B, run A.

---

Run A
RbSrBe3: optimized geometry, PBE.

Geometry as extended XYZ:
```
5
Lattice="-4.3584 0.5612 3.9262 -0.3134 -5.8641 0.4904 3.9538 0.1539 4.3669" Properties=species:S:1:pos:R:3 pbc="T T T"
Sr 0.0000 0.0000 0.0000
Rb -0.3590 -2.5744 4.3918
Be -0.1567 -2.9320 0.2452
Be 1.9769 0.0770 2.1835
Be -2.1792 0.2806 1.9631
```

SG: Pm-3m, No. 221
Calculated volume: 40.927 A^3/atom
Density: 1.62 g cm⁻³

---

Run B
RbSrBe3: optimized geometry, PBE.

Geometry as extended XYZ:
```
5
Lattice="5.4760 0.0000 0.0000 0.0000 5.4760 0.0000 0.0000 0.0000 5.4760" Properties=species:S:1:pos:R:3 pbc="T T T"
Sr 2.7380 2.7380 2.7380
Rb 0.0000 0.0000 0.0000
Be 0.0000 2.7380 0.0000
Be 0.0000 0.0000 2.7380
Be 2.7380 0.0000 0.0000
```

SG: Pm-3m, No. 221
Calculated volume: 32.841 A^3/atom
Density: 2.02 g cm⁻³

---

Which is most stable? The ranking, best first, is run A, run B.

---

Run A
RbTaBe2: optimized geometry, PBE.

Geometry as extended XYZ:
```
4
Lattice="-3.3459 0.7171 3.2853 -1.4000 4.4124 1.0357 -4.3155 1.4844 -1.2944" Properties=species:S:1:pos:R:3 pbc="T T T"
Be -2.2653 1.6535 0.7566
Be -6.7960 4.9605 2.2699
Rb 0.0000 0.0000 0.0000
Ta -4.5307 3.3070 1.5133
```

SG: Fm-3m, No. 225
Calculated volume: 18.870 A^3/atom
Density: 6.26 g cm⁻³

---

Run B
RbTaBe2: optimized geometry, PBE.

Geometry as extended XYZ:
```
8
Lattice="7.4000 0.0000 0.0000 0.0000 7.4000 0.0000 3.7000 3.7000 3.6054" Properties=species:S:1:pos:R:3 pbc="T T T"
Be 6.1576 1.8500 0.9013
Be 1.2424 5.5500 0.9013
Be 5.5500 4.9424 2.7040
Be 9.2501 9.8576 2.7040
Rb 3.7000 3.7000 0.0000
Rb 3.7000 7.4000 1.8027
Ta 0.0000 0.0000 0.0000
Ta 7.4000 3.7000 1.8027
```

SG: I-42d, No. 122
Calculated volume: 24.679 A^3/atom
Density: 4.78 g cm⁻³

---

Which is most stable? The ranking, best first, is run B, run A.

---

Run A
RbTa3Be: optimized geometry, PBE.

Geometry as extended XYZ:
```
5
Lattice="4.7551 0.0000 0.0000 0.0000 4.7551 0.0000 0.0000 0.0000 4.7551" Properties=species:S:1:pos:R:3 pbc="T T T"
Be 2.3775 2.3775 2.3775
Rb 0.0000 0.0000 0.0000
Ta 0.0000 2.3775 0.0000
Ta 0.0000 0.0000 2.3775
Ta 2.3775 0.0000 0.0000
```

SG: Pm-3m, No. 221
Calculated volume: 21.503 A^3/atom
Density: 9.84 g cm⁻³

---

Run B
RbTa3Be: optimized geometry, PBE.

Geometry as extended XYZ:
```
5
Lattice="-4.3937 1.5087 -0.7019 -1.1975 -1.4909 4.2915 1.1554 4.1922 1.7788" Properties=species:S:1:pos:R:3 pbc="T T T"
Be 0.0000 0.0000 0.0000
Rb -2.2179 2.1050 2.6842
Ta -0.5988 -0.7454 2.1457
Ta 0.5777 2.0961 0.8894
Ta -2.1969 0.7544 -0.3510
```

SG: Pm-3m, No. 221
Calculated volume: 20.741 A^3/atom
Density: 10.20 g cm⁻³

---

Which is most stable? The ranking, best first, is run B, run A.

---

Run A
RbBeTc3: optimized geometry, PBE.

Geometry as extended XYZ:
```
5
Lattice="4.6526 0.0000 0.0000 0.0000 4.6526 0.0000 0.0000 0.0000 4.6526" Properties=species:S:1:pos:R:3 pbc="T T T"
Be 2.3263 2.3263 2.3263
Tc 0.0000 2.3263 0.0000
Tc 0.0000 0.0000 2.3263
Tc 2.3263 0.0000 0.0000
Rb 0.0000 0.0000 0.0000
```

SG: Pm-3m, No. 221
Calculated volume: 20.143 A^3/atom
Density: 6.40 g cm⁻³

---

Run B
RbBeTc3: optimized geometry, PBE.

Geometry as extended XYZ:
```
5
Lattice="4.4434 0.0000 0.0000 0.0000 4.4434 0.0000 0.0000 0.0000 4.4434" Properties=species:S:1:pos:R:3 pbc="T T T"
Be 0.0000 0.0000 0.0000
Tc 0.0000 2.2217 0.0000
Tc 0.0000 0.0000 2.2217
Tc 2.2217 0.0000 0.0000
Rb 2.2217 2.2217 2.2217
```

SG: Pm-3m, No. 221
Calculated volume: 17.546 A^3/atom
Density: 7.35 g cm⁻³

---

Which is most stable? The ranking, best first, is run B, run A.

---

Run A
RbBeTe3: optimized geometry, PBE.

Geometry as extended XYZ:
```
5
Lattice="-2.8044 3.7544 -5.1183 -6.2446 -2.6360 1.4879 -1.1392 5.2071 4.4436" Properties=species:S:1:pos:R:3 pbc="T T T"
Rb 0.0000 0.0000 0.0000
Be -5.0941 3.1627 0.4066
Te -3.1223 -1.3180 0.7440
Te -0.5696 2.6035 2.2218
Te -1.4022 1.8772 -2.5592
```

SG: Pm-3m, No. 221
Calculated volume: 66.837 A^3/atom
Density: 2.37 g cm⁻³

---

Run B
RbBeTe3: optimized geometry, PBE.

Geometry as extended XYZ:
```
5
Lattice="5.2820 0.0000 0.0000 0.0000 5.2820 0.0000 0.0000 0.0000 5.2820" Properties=species:S:1:pos:R:3 pbc="T T T"
Be 0.0000 0.0000 0.0000
Te 0.0000 2.6410 0.0000
Te 0.0000 0.0000 2.6410
Te 2.6410 0.0000 0.0000
Rb 2.6410 2.6410 2.6410
```

SG: Pm-3m, No. 221
Calculated volume: 29.472 A^3/atom
Density: 5.38 g cm⁻³

---

Which is most stable? The ranking, best first, is run B, run A.